[1]
VASP calculation (GGA-PBE) on crystalline ZrNbS3 at its relaxed geometry.

Structure (CIF):
```
data_ZrNbS3
_symmetry_space_group_name_H-M 'P m -3 m'
_symmetry_Int_Tables_number 221
_symmetry_space_group_name_Hall '-P 4 2 3'
_cell_length_a 4.7426
_cell_length_b 4.7426
_cell_length_c 4.7426
_cell_angle_alpha 90.00
_cell_angle_beta 90.00
_cell_angle_gamma 90.00
loop_
_atom_site_label
_atom_site_fract_x
_atom_site_fract_y
_atom_site_fract_z
Zr1 0.0000 0.0000 0.0000
Nb1 0.5000 0.5000 0.5000
S1 0.0000 0.5000 0.5000
```

Properties
Polymorph energy (0 for the lowest one)   866 meV/atom


[2]
VASP calculation (GGA-PBE) on crystalline LaHo2Ni9 at its relaxed geometry.

Structure (CIF):
```
data_LaHo2Ni9
_symmetry_space_group_name_H-M 'R -3 m'
_symmetry_Int_Tables_number 166
_symmetry_space_group_name_Hall '-R 3 2"'
_cell_length_a 5.0078
_cell_length_b 5.0078
_cell_length_c 24.3516
_cell_angle_alpha 90.00
_cell_angle_beta 90.00
_cell_angle_gamma 120.00
loop_
_atom_site_label
_atom_site_fract_x
_atom_site_fract_y
_atom_site_fract_z
La1 0.0000 0.0000 0.0000
Ho1 0.0000 0.0000 0.1401
Ni1 0.0000 0.0000 0.3329
Ni2 0.0000 0.0000 0.5000
Ni3 0.0013 0.5007 0.9161
```

Properties
Uncorrected energy   -212.66 eV for the cell shown


Calculated volume, record by record: 106.67; 528.88 Å³ per cell